No. 1
{"formula": "CaScTl3", "functional": "PBE", "state": "optimized geometry", "de_polymorph_mev_per_atom": 0, "cell": [[-4.3441, 3.2539, 1.2455], [-2.4498, -4.2682, 2.6061], [2.4774, 1.4850, 4.7611]], "species": ["Ca", "Tl", "Tl", "Sc", "Tl"], "fractional_positions": [[0.5000, 0.5000, 0.5000], [0.0000, 0.0000, 0.5000], [0.5000, 0.0000, 0.0000], [0.0000, 0.0000, 0.0000], [0.0000, 0.5000, 0.0000]]}

***

No. 2
{"formula": "CaScTl2", "functional": "PBE", "state": "optimized geometry", "dft_energy_ev_per_atom": -3.48, "cell": [[-4.1063, 0.4667, -4.6894], [-5.9188, -0.7249, -1.8743], [-2.5204, 4.7334, 0.3811]], "species": ["Sc", "Ca", "Tl", "Tl"], "fractional_positions": [[0.2578, 0.2578, 0.1743], [0.4917, 0.4917, 0.5711], [0.7406, 0.7406, 0.6813], [0.0098, 0.0098, 0.0733]]}

***

Repeat the first record exactly.
{"formula": "CaScTl3", "functional": "PBE", "state": "optimized geometry", "de_polymorph_mev_per_atom": 0, "cell": [[-4.3441, 3.2539, 1.2455], [-2.4498, -4.2682, 2.6061], [2.4774, 1.4850, 4.7611]], "species": ["Ca", "Tl", "Tl", "Sc", "Tl"], "fractional_positions": [[0.5000, 0.5000, 0.5000], [0.0000, 0.0000, 0.5000], [0.5000, 0.0000, 0.0000], [0.0000, 0.0000, 0.0000], [0.0000, 0.5000, 0.0000]]}

***

What did the first record say?
{"formula": "CaScTl3", "functional": "PBE", "state": "optimized geometry", "de_polymorph_mev_per_atom": 0, "cell": [[-4.3441, 3.2539, 1.2455], [-2.4498, -4.2682, 2.6061], [2.4774, 1.4850, 4.7611]], "species": ["Ca", "Tl", "Tl", "Sc", "Tl"], "fractional_positions": [[0.5000, 0.5000, 0.5000], [0.0000, 0.0000, 0.5000], [0.5000, 0.0000, 0.0000], [0.0000, 0.0000, 0.0000], [0.0000, 0.5000, 0.0000]]}